Record 1
The following is a DFT calculation (PBE-GGA) of NaGaPd2 after structural relaxation.

a b c (Å): 3.9690 3.9690 9.4609
angles (deg): 90.00 90.00 90.00
Last column: nearest neighbours and their distance in Å.
Positions (direct):
Na: 0.2500 0.2500 0.2199  1 Pd 2.78, 4 Ga 3.00
Na: 0.7500 0.7500 0.7801  1 Pd 2.78, 4 Ga 3.00
Ga: 0.2500 0.2500 0.6678  5 Pd 2.44-2.54
Ga: 0.7500 0.7500 0.3322  5 Pd 2.44-2.54
Pd: 0.2500 0.2500 0.9261  1 Ga 2.44
Pd: 0.2500 0.7500 0.5000  4 Ga 2.54, 4 Pd 2.81
Pd: 0.7500 0.2500 0.5000  4 Ga 2.54, 4 Pd 2.81
Pd: 0.7500 0.7500 0.0739  1 Ga 2.44

The value obtained for the calculated formation energy is -0.276 eV per atom. As for the theoretical density: 6.81 g/cm3. Its total magnetization is 0.0 μB/f.u.



Record 2
The following is a DFT calculation (PBE-GGA) of Ac3NdHo2Se6 after structural relaxation.

a b c (Å): 7.3025 7.3025 7.6617
angles (deg): 99.16 99.16 120.16
Last column: nearest neighbours and their distance in Å.
Positions (direct):
Ac: 0.0000 0.0000 0.0000  6 Se 3.11-3.18
Ac: 0.3376 0.6624 0.0000  6 Se 3.13-3.18
Ac: 0.6624 0.3376 0.0000  6 Se 3.13-3.18
Nd: 0.5000 0.5000 0.5000  6 Se 2.97-2.99
Ho: 0.1669 0.8331 0.5000  6 Se 2.88-2.90
Ho: 0.8331 0.1669 0.5000  6 Se 2.88-2.90
Se: 0.0819 0.4253 0.2756  2 Ho 2.90, 1 Nd 2.99, 3 Ac 3.13-3.18
Se: 0.2298 0.2298 0.7201  2 Ho 2.88, 1 Nd 2.97, 3 Ac 3.11-3.16
Se: 0.4253 0.0819 0.2756  2 Ho 2.90, 1 Nd 2.99, 3 Ac 3.13-3.18
Se: 0.5747 0.9181 0.7244  2 Ho 2.90, 1 Nd 2.99, 3 Ac 3.13-3.18
Se: 0.7702 0.7702 0.2799  2 Ho 2.88, 1 Nd 2.97, 3 Ac 3.11-3.16
Se: 0.9181 0.5747 0.7244  2 Ho 2.90, 1 Nd 2.99, 3 Ac 3.13-3.18

The value obtained for the formation energy without anion corrections is -1807 meV per atom. As for the theoretical density: 8.08 g/cm3. Its total magnetization is 0.0 μB/f.u.



Record 3
The following is a DFT calculation (PBE-GGA) of HfAlNi5 after structural relaxation.

a b c (Å): 3.7236 3.7236 6.6868
angles (deg): 90.00 90.00 90.00
Last column: nearest neighbours and their distance in Å.
Positions (direct):
Hf: 0.0000 0.0000 0.0000  12 Ni 2.63
Al: 0.5000 0.5000 0.5000  8 Ni 2.38
Ni: 0.0000 0.5000 0.2774  2 Al 2.38, 2 Hf 2.63, 6 Ni 2.63
Ni: 0.0000 0.5000 0.7226  2 Al 2.38, 2 Hf 2.63, 6 Ni 2.63
Ni: 0.5000 0.0000 0.2774  2 Al 2.38, 2 Hf 2.63, 6 Ni 2.63
Ni: 0.5000 0.0000 0.7226  2 Al 2.38, 2 Hf 2.63, 6 Ni 2.63
Ni: 0.5000 0.5000 0.0000  8 Ni 2.63, 4 Hf 2.63

The value obtained for the calculated formation energy is -0.343 eV per atom. As for the theoretical density: 8.94 g/cm3. Its total magnetization is 0.0 μB/f.u.



Record 4
The following is a DFT calculation (PBE-GGA) of Tm2BiPb after structural relaxation.

a b c (Å): 5.6087 5.6087 3.5965
angles (deg): 90.00 90.00 90.00
Last column: nearest neighbours and their distance in Å.
Positions (direct):
Tm: 0.0000 0.5000 0.0000  4 Pb 3.33, 4 Bi 3.33, 2 Tm 3.60
Tm: 0.5000 0.0000 0.0000  4 Pb 3.33, 4 Bi 3.33, 2 Tm 3.60
Bi: 0.0000 0.0000 0.5000  8 Tm 3.33, 2 Bi 3.60
Pb: 0.5000 0.5000 0.5000  8 Tm 3.33, 2 Pb 3.60

The value obtained for the calculated formation energy is -0.417 eV per atom. As for the theoretical density: 11.07 g/cm3. For the energy relative to the lowest polymorph listed for this composition, the calculation gives 65 kJ/mol of formula units. Its total magnetization is 0.0 μB/f.u.



Record 5
The following is a DFT calculation (PBE-GGA) of Dy2LuNi after structural relaxation.

a b c (Å): 3.4452 3.4452 8.4354
angles (deg): 90.00 90.00 90.00
Last column: nearest neighbours and their distance in Å.
Positions (direct):
Dy: 0.0000 0.0000 0.1916  4 Ni 2.92, 1 Dy 3.23
Dy: 0.0000 0.0000 0.8084  4 Ni 2.92, 1 Dy 3.23
Lu: 0.5000 0.5000 0.5000  4 Lu 3.45, 8 Dy 3.56
Ni: 0.5000 0.5000 0.0000  8 Dy 2.92

The value obtained for the calculated formation energy is -0.149 eV per atom. As for the theoretical density: 9.27 g/cm3. For the energy relative to the lowest polymorph listed for this composition, the calculation gives 0 kJ/mol of formula units. Its total magnetization is 0.0 μB/f.u.



Record 6
The following is a DFT calculation (PBE-GGA) of Be4CoNi after structural relaxation.

a b c (Å): 2.3066 3.7091 6.4780
angles (deg): 90.00 90.00 90.00
Last column: nearest neighbours and their distance in Å.
Positions (direct):
Be: 0.0000 0.0000 0.1942  2 Co 2.24, 2 Ni 2.29, 6 Be 2.30-2.31
Be: 0.0000 0.0000 0.8058  2 Co 2.24, 2 Ni 2.29, 6 Be 2.30-2.31
Be: 0.5000 0.5000 0.3060  2 Ni 2.24, 2 Co 2.29, 6 Be 2.30-2.31
Be: 0.5000 0.5000 0.6940  2 Ni 2.24, 2 Co 2.29, 6 Be 2.30-2.31
Co: 0.0000 0.5000 0.0000  8 Be 2.24-2.29, 2 Co 2.31
Ni: 0.5000 0.0000 0.5000  8 Be 2.24-2.29, 2 Ni 2.31

The value obtained for the calculated formation energy is -0.046 eV per atom. As for the theoretical density: 4.60 g/cm3. For the energy relative to the lowest polymorph listed for this composition, the calculation gives 137 kJ/mol of formula units. Its total magnetization is 0.8 μB/f.u.



no.,DOS(E_F) (states/eV per atom)
1,0.42
2,0.43
3,0.63
4,0.97
5,1.48
6,0.44